[1]
{"formula": "TbSm2HoP4", "functional": "PBE", "state": "optimized geometry", "cell": [[4.0599, 0.0000, 0.0000], [0.0000, 7.0269, 0.1228], [0.0000, -2.4568, 6.5823]], "species": ["Sm", "P", "P", "P", "Ho", "P", "Tb", "Sm"], "frac_coords": [[0.0000, 0.5000, 0.5000], [0.5000, 0.2492, 0.2443], [0.0000, 0.2533, 0.7564], [0.5000, 0.7508, 0.7557], [0.5000, 0.5000, 0.0000], [0.0000, 0.7467, 0.2436], [0.0000, 0.0000, 0.0000], [0.5000, 0.0000, 0.5000]], "rho_g_cm3": 6.58, "spacegroup": "P2/m (10)", "vol_a3_per_cell": 189}


[2]
{"formula": "Sm2HoThP4", "functional": "PBE", "state": "optimized geometry", "cell": [[4.0945, 0.0000, 0.0000], [0.0000, 7.0674, 0.1204], [0.0000, -2.4732, 6.6429]], "species": ["Ho", "P", "P", "Sm", "P", "Sm", "Th", "P"], "frac_coords": [[0.0000, 0.0000, 0.0000], [0.5000, 0.7546, 0.7555], [0.0000, 0.7526, 0.2476], [0.0000, 0.5000, 0.5000], [0.0000, 0.2474, 0.7524], [0.5000, 0.0000, 0.5000], [0.5000, 0.5000, 0.0000], [0.5000, 0.2454, 0.2445]], "rho_g_cm3": 7.05, "spacegroup": "P2/m (10)", "vol_a3_per_cell": 193}


[3]
{"formula": "Sm3HoTh2P6", "functional": "PBE", "state": "optimized geometry", "cell": [[-0.4731, 1.4833, 3.8026], [3.7195, -6.6360, 3.0512], [6.9904, 4.9558, -3.2834]], "species": ["Sm", "Ho", "P", "P", "Th", "P", "Sm", "Sm", "Th", "P", "P", "P"], "frac_coords": [[0.5000, 0.5000, 0.0000], [0.5000, 0.0000, 0.0000], [0.0003, 0.7552, 0.0005], [0.6646, 0.0818, 0.3292], [0.1646, 0.3298, 0.3293], [0.3354, 0.9182, 0.6708], [0.1660, 0.8343, 0.3321], [0.8340, 0.1657, 0.6679], [0.8354, 0.6702, 0.6707], [0.6670, 0.5830, 0.3340], [0.9997, 0.2448, 0.9995], [0.3330, 0.4170, 0.6660]], "rho_g_cm3": 7.17, "spacegroup": "C2/m (12)", "vol_a3_per_cell": 293}


We obtain electronic total energy values of -6.626, -6.981, -7.091 eV per atom for the records listed above, in that order.
We obtain total magnetic moment values of 0.00, 0.00, 0.00 μB per formula unit for the records listed above, in that order.